Record 1
VASP calculation (GGA-PBE) on a relaxed structure of BeIn2Pd2.

Lattice parameters (Å, degrees): 6.2564 6.2564 4.3858 90.00 90.00 90.00
Element x y z (fractional)
Pd1 0.6596 0.1596 0.0000
Pd2 0.8404 0.6596 0.0000
Pd3 0.1596 0.3404 0.0000
Pd4 0.3404 0.8404 0.0000
Be1 0.0000 0.0000 0.0000
Be2 0.5000 0.5000 0.0000
In1 0.6646 0.8354 0.5000
In2 0.3354 0.1646 0.5000
In3 0.1646 0.6646 0.5000
In4 0.8354 0.3354 0.5000

Calculated values
DFT formation energy	-0.3081	eV/atom
magnetic moment	0.000	μB per cell


Record 2
VASP calculation (GGA-PBE) on a relaxed structure of BeIn6Pd12.

Lattice parameters (Å, degrees): 6.9367 6.9367 6.9367 94.42 94.42 94.42
Element x y z (fractional)
Pd1 0.8915 0.6717 0.9875
Pd2 0.7904 0.5694 0.4671
Pd3 0.2096 0.4306 0.5329
Pd4 0.9875 0.8915 0.6717
Pd5 0.4671 0.7904 0.5694
Pd6 0.4306 0.5329 0.2096
Pd7 0.5329 0.2096 0.4306
Pd8 0.3283 0.0125 0.1085
Pd9 0.6717 0.9875 0.8915
Pd10 0.1085 0.3283 0.0125
Pd11 0.5694 0.4671 0.7904
Pd12 0.0125 0.1085 0.3283
In1 0.7373 0.3272 0.1302
In2 0.8698 0.2627 0.6728
In3 0.2627 0.6728 0.8698
In4 0.3272 0.1302 0.7373
In5 0.6728 0.8698 0.2627
In6 0.1302 0.7373 0.3272
Be1 0.0000 0.0000 0.0000

Calculated values
DFT formation energy	-0.3764	eV/atom
magnetic moment	0.000	μB per cell


Record 3
VASP calculation (GGA-PBE) on a relaxed structure of Be2In5Pd12.

Lattice parameters (Å, degrees): 5.8937 7.9302 7.3155 80.37 90.00 111.81
Element x y z (fractional)
Pd1 0.5973 0.6939 0.5151
Pd2 0.9527 0.9055 0.1762
Pd3 0.0473 0.0945 0.8238
Pd4 0.0962 0.7165 0.9097
Pd5 0.3797 0.2835 0.0903
Pd6 0.4961 0.9921 0.2876
Pd7 0.9038 0.2835 0.0903
Pd8 0.9034 0.3061 0.4849
Pd9 0.5039 0.0079 0.7124
Pd10 0.0966 0.6939 0.5151
Pd11 0.6203 0.7165 0.9097
Pd12 0.4027 0.3061 0.4849
In1 0.3029 0.6057 0.2255
In2 0.7682 0.5364 0.2304
In3 0.0000 0.0000 0.5000
In4 0.2318 0.4636 0.7696
In5 0.6971 0.3943 0.7745
Be1 0.3141 0.0000 0.0000
Be2 0.6859 0.0000 0.0000

Calculated values
DFT formation energy	-0.3788	eV/atom
magnetic moment	0.000	μB per cell


Record 4
VASP calculation (GGA-PBE) on a relaxed structure of PmBe2InPd5.

Lattice parameters (Å, degrees): 4.2227 4.2227 8.2188 90.00 90.00 90.00
Element x y z (fractional)
In1 0.0000 0.0000 0.0000
Pd1 0.5000 0.5000 0.5000
Pd2 0.5000 0.0000 0.2383
Pd3 0.0000 0.5000 0.7617
Pd4 0.5000 0.0000 0.7617
Pd5 0.0000 0.5000 0.2383
Be1 0.5000 0.5000 0.8518
Be2 0.5000 0.5000 0.1482
Pm1 0.0000 0.0000 0.5000

Calculated values
DFT formation energy	-0.5265	eV/atom
magnetic moment	0.000	μB per cell